This record from Alexandria describes an optimized crystal structure of Y2InAg. The functional is PBE.

Final energy, eV/f.u.: -18.86
Spin magnetization, μB per atom: 0.1833
Energy of formation from the pure elements, kJ/mol of atoms: -8

```
data_Y2InAg
_chemical_formula_sum 'Y6 In3 Ag3'
_cell_length_a 3.6364
_cell_length_b 3.6364
_cell_length_c 29.0208
_cell_angle_alpha 90.00
_cell_angle_beta 90.00
_cell_angle_gamma 120.00
_symmetry_space_group_name_H-M 'R 3 m'
_symmetry_Int_Tables_number 160
_symmetry_space_group_name_Hall 'R 3 -2"'
loop_
_atom_site_label
_atom_site_fract_x
_atom_site_fract_y
_atom_site_fract_z
Y1 0.0000 0.0000 0.0000
Y2 0.0000 0.0000 0.2335
In1 0.0000 0.0000 0.7545
Ag1 0.0000 0.0000 0.4901
```

=====

This record from Alexandria describes an optimized crystal structure of Pt2Pb. The functional is PBE.

Final energy, eV/f.u.: -16.06
Spin magnetization, μB per atom: 0.0000
Energy of formation from the pure elements, kJ/mol of atoms: -9

```
data_Pt2Pb
_chemical_formula_sum 'Pt8 Pb4'
_cell_length_a 5.5180
_cell_length_b 5.5180
_cell_length_c 8.9697
_cell_angle_alpha 90.00
_cell_angle_beta 90.00
_cell_angle_gamma 120.00
_symmetry_space_group_name_H-M 'P 63/m m c'
_symmetry_Int_Tables_number 194
_symmetry_space_group_name_Hall '-P 6c 2c'
loop_
_atom_site_label
_atom_site_fract_x
_atom_site_fract_y
_atom_site_fract_z
Pt1 0.0000 0.0000 0.0000
Pt2 0.1679 0.3357 0.2500
Pb1 0.3333 0.6667 0.5610
```